w | VASP calculation (GGA-PBE) on a relaxed ZnTeS2N crystal.

Structure (CIF):
```
data_ZnTeS2N
_chemical_formula_sum 'Zn1 Te1 S2 N1'
_cell_length_a 5.1077
_cell_length_b 5.1077
_cell_length_c 3.9002
_cell_angle_alpha 90.00
_cell_angle_beta 90.00
_cell_angle_gamma 90.00
_space_group_name_H-M_alt 'P 4/m m m'
_space_group_IT_number 123
_space_group_name_Hall '-P 4 2'
loop_
_atom_site_label
_atom_site_type_symbol
_atom_site_fract_x
_atom_site_fract_y
_atom_site_fract_z
Zn1 Zn 0.0000 0.0000 0.0000
Te1 Te 0.5000 0.5000 0.5000
S1 S 0.0000 0.5000 0.5000
N1 N 0.5000 0.5000 0.0000
```

***

x | VASP calculation (GGA-PBE) on a relaxed ZnTeS2N crystal.

Structure (CIF):
```
data_ZnTeS2N
_chemical_formula_sum 'Zn1 Te1 S2 N1'
_cell_length_a 4.6872
_cell_length_b 4.6872
_cell_length_c 3.8860
_cell_angle_alpha 90.00
_cell_angle_beta 90.00
_cell_angle_gamma 90.00
_space_group_name_H-M_alt 'P 4/m m m'
_space_group_IT_number 123
_space_group_name_Hall '-P 4 2'
loop_
_atom_site_label
_atom_site_type_symbol
_atom_site_fract_x
_atom_site_fract_y
_atom_site_fract_z
Zn1 Zn 0.0000 0.0000 0.0000
Te1 Te 0.5000 0.5000 0.0000
S1 S 0.0000 0.5000 0.5000
N1 N 0.0000 0.0000 0.5000
```

***

y | VASP calculation (GGA-PBE) on a relaxed ZnTeS2N crystal.

Structure (CIF):
```
data_ZnTeS2N
_chemical_formula_sum 'Zn1 Te1 S2 N1'
_cell_length_a 4.9248
_cell_length_b 4.9248
_cell_length_c 3.8048
_cell_angle_alpha 90.00
_cell_angle_beta 90.00
_cell_angle_gamma 90.00
_space_group_name_H-M_alt 'P 4/m m m'
_space_group_IT_number 123
_space_group_name_Hall '-P 4 2'
loop_
_atom_site_label
_atom_site_type_symbol
_atom_site_fract_x
_atom_site_fract_y
_atom_site_fract_z
Zn1 Zn 0.0000 0.0000 0.0000
Te1 Te 0.5000 0.5000 0.5000
S1 S 0.0000 0.5000 0.0000
N1 N 0.0000 0.0000 0.5000
```

***

The computed energies, referenced to the most stable structure and given in eV/atom, are w 0.187; x 0.000; y 0.112.

***

w | VASP calculation (GGA-PBE) on a relaxed ZrTeSN2 crystal.

Structure (CIF):
```
data_ZrTeSN2
_chemical_formula_sum 'Zr1 Te1 S1 N2'
_cell_length_a 3.9799
_cell_length_b 3.9799
_cell_length_c 4.9767
_cell_angle_alpha 90.00
_cell_angle_beta 90.00
_cell_angle_gamma 90.00
_space_group_name_H-M_alt 'P 4/m m m'
_space_group_IT_number 123
_space_group_name_Hall '-P 4 2'
loop_
_atom_site_label
_atom_site_type_symbol
_atom_site_fract_x
_atom_site_fract_y
_atom_site_fract_z
Zr1 Zr 0.0000 0.0000 0.0000
Te1 Te 0.5000 0.5000 0.0000
S1 S 0.5000 0.5000 0.5000
N1 N 0.0000 0.5000 0.5000
```

***

x | VASP calculation (GGA-PBE) on a relaxed ZrTeSN2 crystal.

Structure (CIF):
```
data_ZrTeSN2
_chemical_formula_sum 'Zr1 Te1 S1 N2'
_cell_length_a 4.0576
_cell_length_b 4.0576
_cell_length_c 4.9289
_cell_angle_alpha 90.00
_cell_angle_beta 90.00
_cell_angle_gamma 90.00
_space_group_name_H-M_alt 'P 4/m m m'
_space_group_IT_number 123
_space_group_name_Hall '-P 4 2'
loop_
_atom_site_label
_atom_site_type_symbol
_atom_site_fract_x
_atom_site_fract_y
_atom_site_fract_z
Zr1 Zr 0.0000 0.0000 0.0000
Te1 Te 0.5000 0.5000 0.5000
S1 S 0.5000 0.5000 0.0000
N1 N 0.0000 0.5000 0.5000
```

***

y | VASP calculation (GGA-PBE) on a relaxed ZrTeSN2 crystal.

Structure (CIF):
```
data_ZrTeSN2
_chemical_formula_sum 'Zr1 Te1 S1 N2'
_cell_length_a 4.0765
_cell_length_b 4.0765
_cell_length_c 6.4987
_cell_angle_alpha 90.00
_cell_angle_beta 90.00
_cell_angle_gamma 90.00
_space_group_name_H-M_alt 'P 4/m m m'
_space_group_IT_number 123
_space_group_name_Hall '-P 4 2'
loop_
_atom_site_label
_atom_site_type_symbol
_atom_site_fract_x
_atom_site_fract_y
_atom_site_fract_z
Zr1 Zr 0.0000 0.0000 0.0000
Te1 Te 0.0000 0.0000 0.5000
S1 S 0.5000 0.5000 0.5000
N1 N 0.0000 0.5000 0.0000
```

***

The computed energies, referenced to the most stable structure and given in eV/atom, are w 0.713; x 0.312; y 0.000.